DFT (PBEsol) results for a geometry-optimized Sr2AsRh structure.

## Properties
The calculation puts the density of states at the Fermi level at 1.49 states/eV/f.u. The value obtained for the density is 6.2 Mg/m³. The value obtained for the formation energy is -1.6 eV/f.u. The volume is 190 Å³ per cell. The value obtained for the energy is -4.631 eV per atom.

Cell: 4.8297 4.8297 8.1349 Å, 90.00 90.00 90.00°
Space group I4/mmm (No. 139)
Symmetry-distinct sites (fractional):
Sr  0.0000  0.5000  0.2500 (multiplicity 4)
As  0.0000  0.0000  0.0000 (multiplicity 2)
Rh  0.0000  0.0000  0.5000 (multiplicity 2)

=====

DFT (PBEsol) results for a geometry-optimized Mn2P2O7 structure.

## Properties
The calculation puts the density of states at the Fermi level at 0.00 states/eV/f.u. The value obtained for the density is 3.8 Mg/m³. Its raw formation energy is -1.95 eV/atom. The volume is 248 Å³ per cell. The value obtained for the energy is -8.113 eV per atom.

Cell: 4.5413 10.2452 5.3776 Å, 90.00 97.23 90.00°
Space group P2_1/c (No. 14)
Symmetry-distinct sites (fractional):
Mn  0.1030  0.1534  0.4090 (multiplicity 4)
P  0.3577  0.6110  0.6518 (multiplicity 4)
O  0.1275  0.6799  0.4634 (multiplicity 4)
O  0.2098  0.5432  0.8588 (multiplicity 4)
O  0.3848  0.1993  0.7426 (multiplicity 4)
O  0.5000  0.0000  0.0000 (multiplicity 2)

=====

DFT (PBEsol) results for a geometry-optimized LaTcBr2 structure.

## Properties
The calculation puts the density of states at the Fermi level at 3.21 states/eV/f.u. The calculation puts the distance to the lowest polymorph of the same formula at 0 meV/atom. The value obtained for the density is 5.7 Mg/m³. Its raw formation energy is -0.45 eV/atom. The volume is 231 Å³ per cell. The value obtained for the energy is -5.540 eV per atom.

Cell: 13.9066 3.6483 4.5543 Å, 90.00 90.14 90.00°
Space group C2/m (No. 12)
Symmetry-distinct sites (fractional):
La  0.0000  0.0000  0.0000 (multiplicity 2)
Tc  0.0000  0.5000  0.5000 (multiplicity 2)
Br  0.1585  0.5000  0.7584 (multiplicity 4)